Computed, not measured: a relaxed SbNOF2 crystal at the PBE-GGA level of DFT.

Its offset from the most stable computed form is 915 meV per atom. The density of states at the Fermi level is 1.20 states/eV/f.u. The calculation puts the uncorrected energy at -18.492 eV/cell. The total magnetization is 0.0 μB/cell.

The structure belongs to space group P4/mmm (No. 123); the cell edges are 3.838, 3.838 and 3.859 Å and the angles 90.00°, 90.00° and 90.00°. The distinct sites, in fractional coordinates, are Sb at (0.000, 0.000, 0.000), N at (0.500, 0.500, 0.000), O at (0.500, 0.500, 0.500) and F at (0.000, 0.500, 0.500).

=====

Computed, not measured: a relaxed LiMoAs crystal at the PBE-GGA level of DFT.

Its offset from the most stable computed form is 427 meV per atom. The density of states at the Fermi level is 1.94 states/eV/f.u. The calculation puts the uncorrected energy at -17.342 eV/cell. The total magnetization is 0.0 μB/cell.

The structure belongs to space group P3m1 (No. 156); the cell edges are 4.4210, 4.4210 and 2.7114 Å and the angles 90.00°, 90.00° and 120.00°. The distinct sites, in fractional coordinates, are Li at (0.0000, 0.0000, 0.0000), Mo at (0.6667, 0.3333, 0.4992) and As at (0.3333, 0.6667, 0.4943).

=====

Computed, not measured: a relaxed Li4Ga3Ir2 crystal at the PBE-GGA level of DFT.

Its offset from the most stable computed form is 0 meV per atom. The density of states at the Fermi level is 3.76 states/eV/f.u. The calculation puts the uncorrected energy at -76.742 eV/cell. The total magnetization is 0.0 μB/cell.

The structure belongs to space group C2/m (No. 12); the cell edges are 9.448, 4.142 and 7.955 Å and the angles 90.00°, 125.11° and 90.00°. The distinct sites, in fractional coordinates, are Li at (0.004, 0.000, 0.161), Li at (0.168, 0.500, 0.379), Ga at (0.000, 0.000, 0.500), Ga at (0.179, 0.500, 0.057) and Ir at (0.154, 0.500, 0.717).

=====

Computed, not measured: a relaxed FeCoW2 crystal at the PBE-GGA level of DFT.

Its offset from the most stable computed form is 138 meV per atom. The density of states at the Fermi level is 5.37 states/eV/f.u. The calculation puts the uncorrected energy at -81.057 eV/cell. The total magnetization is 7.7 μB/cell.

The structure belongs to space group Imm2 (No. 44); the cell edges are 3.048, 4.319 and 8.420 Å and the angles 90.00°, 90.00° and 90.00°. The distinct sites, in fractional coordinates, are Fe at (0.000, 0.000, 0.000), Co at (0.000, 0.500, 0.259), W at (0.000, 0.000, 0.504) and W at (0.000, 0.500, 0.747).

=====

Computed, not measured: a relaxed SrTl3P crystal at the PBE-GGA level of DFT.

Its offset from the most stable computed form is 837 meV per atom. The density of states at the Fermi level is 3.02 states/eV/f.u. The calculation puts the uncorrected energy at -9.321 eV/cell. The total magnetization is 0.0 μB/cell.

The structure belongs to space group Pm-3m (No. 221); the cell edges are 6.092, 6.092 and 6.092 Å and the angles 90.00°, 90.00° and 90.00°. The distinct sites, in fractional coordinates, are Sr at (0.000, 0.000, 0.000), Tl at (0.000, 0.000, 0.500) and P at (0.500, 0.500, 0.500).

=====

Computed, not measured: a relaxed Ce2Co4Si3Ge crystal at the PBE-GGA level of DFT.

The density of states at the Fermi level is 9.72 states/eV/f.u. The calculation puts the uncorrected energy at -68.226 eV/cell. The total magnetization is 0.2 μB/cell.

The structure belongs to space group P-4m2 (No. 115); the cell edges are 3.981, 3.981 and 9.643 Å and the angles 90.00°, 90.00° and 90.00°. The distinct sites, in fractional coordinates, are Ce at (0.000, 0.500, 0.248), Co at (0.000, 0.000, 0.500), Co at (0.000, 0.500, 0.866), Co at (0.500, 0.500, 0.500), Si at (0.000, 0.000, 0.000), Si at (0.000, 0.500, 0.625) and Ge at (0.500, 0.500, 0.000).

=====

Computed, not measured: a relaxed PmPrMgAl crystal at the PBE-GGA level of DFT.

The density of states at the Fermi level is 3.21 states/eV/f.u. The calculation puts the uncorrected energy at -63.554 eV/cell. The total magnetization is 0.0 μB/cell.

The structure belongs to space group F-43m (No. 216); the cell edges are 7.592, 7.592 and 7.592 Å and the angles 90.00°, 90.00° and 90.00°. The distinct sites, in fractional coordinates, are Pm at (0.000, 0.000, 0.000), Pr at (0.000, 0.000, 0.500), Mg at (0.250, 0.250, 0.250) and Al at (0.250, 0.250, 0.750).

=====

Computed, not measured: a relaxed La2ErAs crystal at the PBE-GGA level of DFT.

The density of states at the Fermi level is 5.38 states/eV/f.u. The calculation puts the uncorrected energy at -61.914 eV/cell. The total magnetization is 0.0 μB/cell.

The structure belongs to space group R-3m (No. 166, hexagonal axes); the cell edges are 3.9353, 3.9353 and 31.7140 Å and the angles 90.00°, 90.00° and 120.00°. The distinct sites, in fractional coordinates, are La at (0.0000, 0.0000, 0.1085), Er at (0.0000, 0.0000, 0.0000) and As at (0.0000, 0.0000, 0.5000).

=====

Computed, not measured: a relaxed KAg4Sn crystal at the PBE-GGA level of DFT.

Its offset from the most stable computed form is 0 meV per atom. The density of states at the Fermi level is 6.34 states/eV/f.u. The calculation puts the uncorrected energy at -65.248 eV/cell. The total magnetization is 0.0 μB/cell.

The structure belongs to space group F-43m (No. 216); the cell edges are 8.129, 8.129 and 8.129 Å and the angles 90.00°, 90.00° and 90.00°. The distinct sites, in fractional coordinates, are K at (0.000, 0.000, 0.000), Ag at (0.125, 0.125, 0.375) and Sn at (0.250, 0.250, 0.750).

=====

Computed, not measured: a relaxed YHoTh2Sb5 crystal at the PBE-GGA level of DFT.

The density of states at the Fermi level is 5.71 states/eV/f.u. The calculation puts the uncorrected energy at -48.391 eV/cell. The total magnetization is 0.0 μB/cell.

The structure belongs to space group P4/mmm (No. 123); the cell edges are 5.249, 5.249 and 11.457 Å and the angles 90.00°, 90.00° and 90.00°. The distinct sites, in fractional coordinates, are Y at (0.000, 0.000, 0.000), Ho at (0.000, 0.000, 0.500), Th at (0.500, 0.500, 0.299), Sb at (0.000, 0.000, 0.248), Sb at (0.000, 0.500, 0.500) and Sb at (0.500, 0.500, 0.000).

=====

Computed, not measured: a relaxed K2SmGeSe4 crystal at the PBE-GGA level of DFT.

The density of states at the Fermi level is 3.81 states/eV/f.u. The calculation puts the uncorrected energy at -136.605 eV/cell. The total magnetization is 0.0 μB/cell.

The structure belongs to space group Imma (No. 74); the cell edges are 8.564, 8.758 and 12.268 Å and the angles 90.00°, 90.00° and 90.00°. The distinct sites, in fractional coordinates, are K at (0.000, 0.000, 0.000), K at (0.250, 0.250, 0.250), Sm at (0.000, 0.000, 0.500), Ge at (0.250, 0.250, 0.750), Se at (0.000, 0.041, 0.740) and Se at (0.229, 0.250, 0.520).

=====

Computed, not measured: a relaxed TaTlMo2 crystal at the PBE-GGA level of DFT.

Its offset from the most stable computed form is 724 meV per atom. The density of states at the Fermi level is 2.86 states/eV/f.u. The calculation puts the uncorrected energy at -126.487 eV/cell. The total magnetization is 0.0 μB/cell.

The structure belongs to space group I-42d (No. 122); the cell edges are 7.510, 7.510 and 5.630 Å and the angles 90.00°, 90.00° and 90.00°. The distinct sites, in fractional coordinates, are Ta at (0.000, 0.000, 0.000), Tl at (0.000, 0.000, 0.500) and Mo at (0.218, 0.250, 0.125).

=====

> What is the formula in the seventh record?

PmPrMgAl

=====

> The highest uncorrected energy belongs to which entry?

SrTl3P

=====

> Among the records above, which one has the lowest uncorrected energy?

K2SmGeSe4

=====

> Which value of total magnetization does entry 5 give?

0.0 μB/cell